An optimized crystal structure of Zr2OsPt2. Source: the Alexandria database, functional PBE-GGA.

Calculated values
DOS at the Fermi energy (states/eV/atom): 0.669
ΔH_f (0 K) (eV/atom): -0.28
Calculated volume (Å³/atom): 19.5
DFT total energy (eV/cell): -41.80
Excess energy over the best structure of this formula in the dataset (eV/atom): 0.274

abc: 7.8731 7.8731 7.8731
angles: 153.40 153.40 37.97
Atoms (fractional coordinates):
Zr 0.1036 0.1036 0.0000
Zr 0.8964 0.8964 0.0000
Os 0.5000 0.5000 0.0000
Pt 0.2500 0.7500 0.5000
Pt 0.7500 0.2500 0.5000